Record 1
Here is crystalline KTaCr2Cl at its relaxed geometry from Alexandria. Energies are from PBE.

Geometry as POSCAR:
```
KTaCr2Cl
1.0
4.710 0.000 0.000
0.000 4.710 0.000
0.000 0.000 7.718
K Ta Cr Cl
1 1 2 1
Direct
0.000 0.000 0.000
0.000 0.000 0.500
0.000 0.500 0.500
0.500 0.000 0.500
0.500 0.500 0.000
```

Values from the calculation:
- M_tot: 1.114 μB per atom
- Raw total energy: -5.6720 eV per atom
- Crystal system: tetragonal
- Uncorrected formation energy: 5.68 eV/f.u.
- Volume: 34.24 Å³/atom


Record 2
Here is crystalline BaLiSnAu2 at its relaxed geometry from Alexandria. Energies are from PBE.

Geometry as POSCAR:
```
BaLiSnAu2
1.0
-2.280 2.280 6.143
2.280 -2.280 6.143
2.280 2.280 -6.143
Ba Li Sn Au
1 1 1 2
Direct
0.000 0.000 0.000
0.750 0.250 0.500
0.250 0.750 0.500
0.383 0.383 0.000
0.617 0.617 0.000
```

Values from the calculation:
- M_tot: 0.000 μB per atom
- Energy of formation: -0.625 eV/atom
- Raw total energy: -3.5037 eV per atom
- Crystal system: tetragonal
- Volume: 25.54 Å³/atom


Record 3
Here is crystalline Ho4Er3Sb4 at its relaxed geometry from Alexandria. Energies are from PBE.

Geometry as POSCAR:
```
Ho4Er3Sb4
1.0
-2.001 4.551 8.583
2.001 -4.551 8.583
2.001 4.551 -8.583
Ho Er Sb
4 3 4
Direct
0.014 0.832 0.183
0.351 0.168 0.183
0.649 0.832 0.817
0.986 0.168 0.817
0.000 0.500 0.500
0.400 0.400 0.000
0.600 0.600 0.000
0.266 0.766 0.500
0.294 0.000 0.294
0.706 0.000 0.706
0.734 0.234 0.500
```

Values from the calculation:
- M_tot: 0.000 μB per atom
- Raw total energy: -5.1371 eV per atom
- Crystal system: orthorhombic
- Uncorrected formation energy: -8.02 eV/f.u.
- Volume: 28.43 Å³/atom


Record 4
Here is crystalline Y2GaPb at its relaxed geometry from Alexandria. Energies are from PBE.

Geometry as POSCAR:
```
Y2GaPb
1.0
4.925 0.000 0.000
0.000 4.925 0.000
0.000 0.000 4.252
Y Ga Pb
2 1 1
Direct
0.000 0.500 0.000
0.500 0.000 0.000
0.000 0.000 0.500
0.500 0.500 0.500
```

Values from the calculation:
- M_tot: 0.000 μB per atom
- Energy of formation: -0.485 eV/atom
- Raw total energy: -5.4011 eV per atom
- Crystal system: tetragonal
- Volume: 25.78 Å³/atom


Record 5
Here is crystalline YTmSc2 at its relaxed geometry from Alexandria. Energies are from PBE.

Geometry as POSCAR:
```
YTmSc2
1.0
6.626 0.000 0.000
0.000 7.964 0.000
-0.003 0.000 8.605
Y Tm Sc
4 4 8
Direct
0.125 0.028 0.318
0.125 0.472 0.818
0.875 0.528 0.182
0.875 0.972 0.682
0.376 0.528 0.181
0.376 0.972 0.681
0.624 0.028 0.319
0.624 0.472 0.819
0.127 0.667 0.490
0.127 0.833 0.990
0.376 0.168 0.008
0.376 0.332 0.508
0.624 0.668 0.492
0.624 0.832 0.992
0.873 0.167 0.010
0.873 0.333 0.510
```

Values from the calculation:
- M_tot: 0.000 μB per atom
- Energy relative to the lowest polymorph listed for this composition: 54 kJ/mol of formula units
- Energy of formation: 0.185 eV/atom
- Raw total energy: -5.7142 eV per atom
- Crystal system: monoclinic
- Volume: 28.38 Å³/atom


Record 6
Here is crystalline U4Pd at its relaxed geometry from Alexandria. Energies are from PBE.

Geometry as POSCAR:
```
U4Pd
1.0
5.359 0.000 0.000
0.000 5.359 0.000
0.000 0.000 5.359
U Pd
4 1
Direct
0.000 0.000 0.000
0.000 0.500 0.500
0.500 0.000 0.500
0.500 0.500 0.000
0.500 0.500 0.500
```

Values from the calculation:
- M_tot: 2.831 μB per atom
- Energy of formation: 1.267 eV/atom
- Raw total energy: -8.8023 eV per atom
- Crystal system: cubic
- Volume: 30.78 Å³/atom


Record 7
Here is crystalline Na2GeSb at its relaxed geometry from Alexandria. Energies are from PBE.

Geometry as POSCAR:
```
Na2GeSb
1.0
4.488 0.000 0.000
0.000 4.488 0.000
0.000 0.000 4.741
Na Ge Sb
2 1 1
Direct
0.000 0.500 0.000
0.500 0.000 0.000
0.000 0.000 0.500
0.500 0.500 0.500
```

Values from the calculation:
- M_tot: 0.000 μB per atom
- Energy relative to the lowest polymorph listed for this composition: 0 kJ/mol of formula units
- Raw total energy: -2.9926 eV per atom
- Crystal system: tetragonal
- Uncorrected formation energy: -0.59 eV/f.u.
- Volume: 23.87 Å³/atom


Record 8
Here is crystalline SiHg2Ir at its relaxed geometry from Alexandria. Energies are from PBE.

Geometry as POSCAR:
```
SiHg2Ir
1.0
3.067 0.000 0.000
0.000 5.367 0.000
-0.420 0.000 4.552
Si Hg Ir
1 2 1
Direct
0.000 0.000 0.000
0.250 0.500 0.251
0.750 0.500 0.749
0.500 0.000 0.500
```

Values from the calculation:
- M_tot: 0.000 μB per atom
- Raw total energy: -3.2534 eV per atom
- Crystal system: monoclinic
- Uncorrected formation energy: 1.87 eV/f.u.
- Volume: 18.73 Å³/atom


Number 5 is which compound? YTmSc2


What did the fourth record say?
Here is crystalline Y2GaPb at its relaxed geometry from Alexandria. Energies are from PBE.

Geometry as POSCAR:
```
Y2GaPb
1.0
4.925 0.000 0.000
0.000 4.925 0.000
0.000 0.000 4.252
Y Ga Pb
2 1 1
Direct
0.000 0.500 0.000
0.500 0.000 0.000
0.000 0.000 0.500
0.500 0.500 0.500
```

Values from the calculation:
- M_tot: 0.000 μB per atom
- Energy of formation: -0.485 eV/atom
- Raw total energy: -5.4011 eV per atom
- Crystal system: tetragonal
- Volume: 25.78 Å³/atom